No. 1
Entry from the Alexandria database: crystalline TbPm2Nd3Se6 at its relaxed geometry (PBE).

Unit cell a=7.269 b=7.269 c=7.286 alpha=99.54 beta=99.54 gamma=120.25
Sites, in units of the cell vectors:
Tb1 0.000 0.000 0.000
Pm1 0.333 0.667 0.000
Pm2 0.667 0.333 0.000
Nd1 0.171 0.829 0.500
Nd2 0.829 0.171 0.500
Nd3 0.500 0.500 0.500
Se1 0.919 0.592 0.757
Se2 0.755 0.755 0.246
Se3 0.081 0.408 0.243
Se4 0.592 0.919 0.757
Se5 0.245 0.245 0.754
Se6 0.408 0.081 0.243

Calculated values
- symmetry = C2/m (12)
- raw total energy (eV per atom) = -5.941
- formation energy from raw total energies (eV/atom) = -1.829



No. 2
Entry from the Alexandria database: crystalline TbPm2NdSe4 at its relaxed geometry (PBE).

Unit cell a=4.132 b=7.245 c=7.298 alpha=71.11 beta=90.00 gamma=90.00
Sites, in units of the cell vectors:
Tb1 0.000 0.500 0.500
Pm1 0.000 0.000 0.000
Pm2 0.500 0.000 0.500
Nd1 0.500 0.500 0.000
Se1 0.000 0.749 0.745
Se2 0.000 0.251 0.255
Se3 0.500 0.744 0.257
Se4 0.500 0.256 0.743

Calculated values
- symmetry = P2/m (10)
- raw total energy (eV per atom) = -5.921
- formation energy from raw total energies (eV/atom) = -1.816



Number 1: ρ 7.2 g/cm3. Number 2: ρ 7.3 g/cm3.